A relaxed structure of LaMgCl3, computed with PBE.

Unit cell a=5.6315 b=5.6315 c=5.6315 alpha=90.00 beta=90.00 gamma=90.00
Fractional coordinates of all 5 atoms:
La1 0.0000 0.0000 0.0000
Mg1 0.5000 0.5000 0.5000
Cl1 0.0000 0.0000 0.5000
Cl2 0.0000 0.5000 0.0000
Cl3 0.5000 0.0000 0.0000

Computed properties:
DFT total energy ... -3.971 eV/atom
Energy relative to the elements, uncorrected ... -1.558 eV/atom
M_tot ... 0.0 μB per formula unit

---

A relaxed structure of LaMg2Cl, computed with PBE.

Unit cell a=10.0227 b=10.0227 c=10.0227 alpha=20.13 beta=20.13 gamma=20.13
Fractional coordinates of all 4 atoms:
La1 0.0000 0.0000 0.0000
Mg1 0.2354 0.2354 0.2354
Mg2 0.7646 0.7646 0.7646
Cl1 0.5000 0.5000 0.5000

Computed properties:
DFT total energy ... -3.014 eV/atom
Energy relative to the elements, uncorrected ... -0.523 eV/atom
M_tot ... 0.0 μB per formula unit

---

A relaxed structure of LaMgCl4, computed with PBE.

Unit cell a=5.9590 b=5.9590 c=5.9590 alpha=60.00 beta=60.00 gamma=60.00
Fractional coordinates of all 6 atoms:
La1 0.0000 0.0000 0.0000
Mg1 0.7500 0.7500 0.7500
Cl1 0.3750 0.3750 0.3750
Cl2 0.3750 0.3750 0.8749
Cl3 0.3750 0.8749 0.3750
Cl4 0.8749 0.3750 0.3750

Computed properties:
DFT total energy ... -2.902 eV/atom
Energy relative to the elements, uncorrected ... -0.584 eV/atom
M_tot ... 0.9 μB per formula unit

---

A relaxed structure of LaMgClO2, computed with PBE.

Unit cell a=4.8246 b=4.8246 c=4.1859 alpha=90.00 beta=90.00 gamma=90.00
Fractional coordinates of all 5 atoms:
La1 0.0000 0.0000 0.0000
Mg1 0.5000 0.5000 0.0000
Cl1 0.5000 0.5000 0.5000
O1 0.0000 0.5000 0.5000
O2 0.5000 0.0000 0.5000

Computed properties:
DFT total energy ... -3.921 eV/atom
Energy relative to the elements, uncorrected ... -0.264 eV/atom
M_tot ... 0.5 μB per formula unit

---

A relaxed structure of LaMgPbCl2, computed with PBE.

Unit cell a=5.5436 b=5.5436 c=6.6691 alpha=90.00 beta=90.00 gamma=90.00
Fractional coordinates of all 5 atoms:
La1 0.0000 0.0000 0.0000
Mg1 0.5000 0.5000 0.0000
Pb1 0.0000 0.0000 0.5000
Cl1 0.0000 0.5000 0.5000
Cl2 0.5000 0.0000 0.5000

Computed properties:
DFT total energy ... -2.984 eV/atom
Energy relative to the elements, uncorrected ... -0.199 eV/atom
M_tot ... 0.0 μB per formula unit

---

A relaxed structure of Rb2LaMgCl6, computed with PBE.

Unit cell a=7.6123 b=7.6123 c=7.6123 alpha=60.00 beta=60.00 gamma=60.00
Fractional coordinates of all 10 atoms:
Rb1 0.2500 0.2500 0.2500
Rb2 0.7500 0.7500 0.7500
La1 0.0000 0.0000 0.0000
Mg1 0.5000 0.5000 0.5000
Cl1 0.2661 0.2661 0.7339
Cl2 0.2661 0.7339 0.2661
Cl3 0.2661 0.7339 0.7339
Cl4 0.7339 0.2661 0.2661
Cl5 0.7339 0.2661 0.7339
Cl6 0.7339 0.7339 0.2661

Computed properties:
DFT total energy ... -3.833 eV/atom
Energy relative to the elements, uncorrected ... -1.879 eV/atom
M_tot ... 1.0 μB per formula unit

---

Question: DFT total energy of number 6 (Rb2LaMgCl6)?
Answer: -3.833 eV/atom

---

Question: Which formula does entry 2 have?
Answer: LaMg2Cl

---

Question: What is the DFT total energy in the first record?
Answer: -3.971 eV/atom

---

Question: Which value of energy relative to the elements, uncorrected does entry 3 give?
Answer: -0.584 eV/atom